Record 1
Density functional theory data (GGA-PBEsol) for an optimized crystal structure of BaTaSe2.

Cell lengths 3.646, 4.382, 7.312 Å; angles 104.10, 90.00, 114.58 degrees
Positions (direct):
1 Se 0.010 0.020 0.955
2 Se 0.187 0.374 0.577
3 Ba 0.788 0.577 0.266
4 Ta 0.515 0.030 0.703

Values from the calculation:
The uncorrected formation energy comes out at -0.795 eV/atom. The value obtained for the offset from the most stable computed form is 0.00 eV per formula unit. For the volume, the calculation gives 25.59 Å³ per atom. The total energy is -25.6 eV per formula unit.

---

Record 2
Density functional theory data (GGA-PBEsol) for an optimized crystal structure of MgTe2Pd.

Cell lengths 3.998, 3.998, 8.618 Å; angles 76.59, 76.59, 60.00 degrees
Positions (direct):
1 Pd 0.500 0.500 0.500
2 Te 0.889 0.889 0.332
3 Te 0.111 0.111 0.668
4 Mg 0.000 0.000 0.000

Values from the calculation:
The uncorrected formation energy comes out at -0.177 eV/atom. For the volume, the calculation gives 28.73 Å³ per atom. The total energy is -15.4 eV per formula unit.

---

Record 3
Density functional theory data (GGA-PBEsol) for an optimized crystal structure of Li2NiP4O12.

Cell lengths 6.376, 6.376, 7.024 Å; angles 116.99, 116.99, 89.99 degrees
Each line ends with the local moment (μB).
Positions (direct):
1 O 0.538 0.932 0.106  0.04
2 Ni 0.181 0.819 0.000  1.62
3 P 0.846 0.735 0.486  0.00
4 O 0.843 0.702 0.243  0.00
5 O 0.305 0.914 0.365  0.05
6 P 0.116 0.223 0.865  0.01
7 Li 0.361 0.639 0.500  0.00
8 O 0.857 0.021 0.633  0.00
9 O 0.298 0.157 0.757  0.00
10 O 0.199 0.174 0.073  0.05
11 P 0.265 0.154 0.514  0.00
12 O 0.826 0.801 0.927  0.05
13 O 0.068 0.462 0.894  0.04
14 P 0.777 0.884 0.135  0.01
15 O 0.979 0.143 0.367  0.00
16 O 0.421 0.384 0.592  0.00
17 O 0.086 0.695 0.635  0.05
18 O 0.616 0.579 0.408  0.00
19 Li 0.670 0.330 0.500  0.00

Values from the calculation:
The uncorrected formation energy comes out at -2.010 eV/atom. The value obtained for the offset from the most stable computed form is 1.00 eV per formula unit. For the volume, the calculation gives 11.52 Å³ per atom. The total energy is -134.4 eV per formula unit.

---

Record 4
Density functional theory data (GGA-PBEsol) for an optimized crystal structure of LiTaAsBr2.

Cell lengths 4.422, 4.422, 5.114 Å; angles 90.00, 90.00, 90.00 degrees
Each line ends with the local moment (μB).
Positions (direct):
1 Br 0.000 0.500 0.000  -0.08
2 Br 0.500 0.000 0.000  -0.08
3 Li 0.000 0.000 0.000  -0.01
4 Ta 0.500 0.500 0.500  1.20
5 As 0.000 0.000 0.500  -0.25

Values from the calculation:
The uncorrected formation energy comes out at 0.581 eV/atom. For the volume, the calculation gives 20.00 Å³ per atom. The total energy is -20.5 eV per formula unit.